{
  "formula": "Cu5Sb3S12",
  "functional": "PBE",
  "state": "optimized geometry",
  "total_energy_ev_per_atom": -4.076,
  "density_g_cm3": 4.5,
  "raw_formation_energy_mev_per_atom": 42.7,
  "lattice": [[-7.345, 7.345, 7.345], [7.345, -7.345, 7.345], [7.345, 7.345, -7.345]],
  "species": ["Cu", "Cu", "Cu", "Cu", "Cu", "Cu", "Cu", "Cu", "Cu", "Cu", "Cu", "Cu", "Cu", "Cu", "Cu", "Cu", "Cu", "Cu", "Cu", "Cu", "Sb", "Sb", "Sb", "Sb", "Sb", "Sb", "Sb", "Sb", "Sb", "Sb", "Sb", "Sb", "S", "S", "S", "S", "S", "S", "S", "S", "S", "S", "S", "S", "S", "S", "S", "S", "S", "S", "S", "S", "S", "S", "S", "S", "S", "S", "S", "S", "S", "S", "S", "S", "S", "S", "S", "S", "S", "S", "S", "S", "S", "S", "S", "S", "S", "S", "S", "S"],
  "fractional_positions": [[0.000, 0.000, 0.000], [0.000, 0.000, 0.500], [0.000, 0.500, 0.000], [0.000, 0.500, 0.500], [0.125, 0.750, 0.875], [0.125, 0.875, 0.250], [0.250, 0.125, 0.875], [0.250, 0.625, 0.375], [0.375, 0.250, 0.625], [0.375, 0.625, 0.750], [0.500, 0.000, 0.000], [0.500, 0.000, 0.500], [0.500, 0.500, 0.000], [0.500, 0.500, 0.500], [0.625, 0.375, 0.250], [0.625, 0.750, 0.375], [0.750, 0.375, 0.625], [0.750, 0.875, 0.125], [0.875, 0.125, 0.750], [0.875, 0.250, 0.125], [0.125, 0.250, 0.375], [0.125, 0.375, 0.750], [0.250, 0.375, 0.125], [0.250, 0.875, 0.625], [0.375, 0.125, 0.250], [0.375, 0.750, 0.125], [0.625, 0.250, 0.875], [0.625, 0.875, 0.750], [0.750, 0.125, 0.375], [0.750, 0.625, 0.875], [0.875, 0.625, 0.250], [0.875, 0.750, 0.625], [0.029, 0.205, 0.124], [0.029, 0.324, 0.905], [0.081, 0.705, 0.676], [0.081, 0.876, 0.405], [0.095, 0.624, 0.419], [0.095, 0.971, 0.676], [0.124, 0.029, 0.205], [0.124, 0.595, 0.919], [0.176, 0.205, 0.581], [0.176, 0.471, 0.595], [0.205, 0.124, 0.029], [0.205, 0.581, 0.176], [0.295, 0.324, 0.919], [0.295, 0.471, 0.376], [0.324, 0.905, 0.029], [0.324, 0.919, 0.295], [0.376, 0.295, 0.471], [0.376, 0.581, 0.905], [0.405, 0.081, 0.876], [0.405, 0.824, 0.529], [0.419, 0.095, 0.624], [0.419, 0.824, 0.795], [0.471, 0.376, 0.295], [0.471, 0.595, 0.176], [0.529, 0.405, 0.824], [0.529, 0.624, 0.705], [0.581, 0.176, 0.205], [0.581, 0.905, 0.376], [0.595, 0.176, 0.471], [0.595, 0.919, 0.124], [0.624, 0.419, 0.095], [0.624, 0.705, 0.529], [0.676, 0.081, 0.705], [0.676, 0.095, 0.971], [0.705, 0.529, 0.624], [0.705, 0.676, 0.081], [0.795, 0.419, 0.824], [0.795, 0.876, 0.971], [0.824, 0.529, 0.405], [0.824, 0.795, 0.419], [0.876, 0.405, 0.081], [0.876, 0.971, 0.795], [0.905, 0.029, 0.324], [0.905, 0.376, 0.581], [0.919, 0.124, 0.595], [0.919, 0.295, 0.324], [0.971, 0.676, 0.095], [0.971, 0.795, 0.876]]
}


{
  "formula": "AcSi2Ag",
  "functional": "PBE",
  "state": "optimized geometry",
  "total_energy_ev_per_atom": -4.907,
  "density_g_cm3": 7.3,
  "raw_formation_energy_mev_per_atom": -455.3,
  "e_above_lowest_polymorph_mev_per_atom": 9,
  "lattice": [[7.177, 0.000, 0.000], [0.000, 4.420, 0.000], [0.000, 0.000, 11.233]],
  "species": ["Ac", "Ac", "Ac", "Ac", "Si", "Si", "Si", "Si", "Si", "Si", "Si", "Si", "Ag", "Ag", "Ag", "Ag"],
  "fractional_positions": [[0.140, 0.250, 0.141], [0.360, 0.750, 0.641], [0.640, 0.250, 0.359], [0.860, 0.750, 0.859], [0.029, 0.250, 0.660], [0.190, 0.250, 0.846], [0.310, 0.750, 0.346], [0.471, 0.750, 0.160], [0.529, 0.250, 0.840], [0.690, 0.250, 0.654], [0.810, 0.750, 0.154], [0.971, 0.750, 0.340], [0.144, 0.250, 0.439], [0.356, 0.750, 0.939], [0.644, 0.250, 0.061], [0.856, 0.750, 0.561]]
}


{
  "formula": "PrGa4Ag12",
  "functional": "PBE",
  "state": "optimized geometry",
  "total_energy_ev_per_atom": -2.807,
  "delta_e_f_ev_per_atom": 0.20,
  "density_g_cm3": 7.7,
  "lattice": [[-4.523, 4.523, 4.523], [4.523, -4.523, 4.523], [4.523, 4.523, -4.523]],
  "species": ["Pr", "Ga", "Ga", "Ga", "Ga", "Ag", "Ag", "Ag", "Ag", "Ag", "Ag", "Ag", "Ag", "Ag", "Ag", "Ag", "Ag"],
  "fractional_positions": [[0.000, 0.000, 0.000], [0.000, 0.000, 0.500], [0.000, 0.500, 0.000], [0.500, 0.000, 0.000], [0.500, 0.500, 0.500], [0.155, 0.346, 0.501], [0.155, 0.654, 0.808], [0.192, 0.845, 0.346], [0.346, 0.192, 0.845], [0.346, 0.501, 0.155], [0.499, 0.845, 0.654], [0.501, 0.155, 0.346], [0.654, 0.499, 0.845], [0.654, 0.808, 0.155], [0.808, 0.155, 0.654], [0.845, 0.346, 0.192], [0.845, 0.654, 0.499]]
}